--- one ---
A geometry-optimized CaH2Au structure, computed with GGA-PBE.

Lattice parameters (Å, degrees): 4.4873 4.4873 6.5098 69.84 69.84 90.00
With the nearest neighbours (Å) after each atom.
Positions (direct):
H 0.0105 0.6250 0.2500  2 Au 1.91
H 0.3750 0.2605 0.7500  2 Au 1.91
H 0.7395 0.1250 0.2500  2 Au 1.91
H 0.8750 0.9895 0.7500  2 Au 1.91
Au 0.0000 0.0000 0.0000  4 H 1.91
Au 0.7500 0.2500 0.5000  4 H 1.91
Ca 0.2500 0.7500 0.5000  4 H 2.44
Ca 0.5000 0.5000 0.0000  4 H 2.44

Calculated values
* M_tot: 0.000 μB per cell
* V: 57.2 Å³/f.u.
* space group: I-42d (122)

--- two ---
A geometry-optimized CaH2Au structure, computed with GGA-PBE.

Lattice parameters (Å, degrees): 4.0988 4.0988 4.8418 64.96 64.96 60.00
With the nearest neighbours (Å) after each atom.
Positions (direct):
Au 0.0000 0.0000 0.0000  2 H 1.68
Ca 0.5000 0.5000 0.5000  6 H 2.41
H 0.1322 0.1322 0.6034  1 Au 1.68
H 0.8678 0.8678 0.3966  1 Au 1.68

Calculated values
* M_tot: 0.000 μB per cell
* V: 61.5 Å³/f.u.
* space group: R-3m (166)

--- three ---
A geometry-optimized CaH2Au structure, computed with GGA-PBE.

Lattice parameters (Å, degrees): 4.2262 4.2262 4.2262 60.00 60.00 60.00
With the nearest neighbours (Å) after each atom.
Positions (direct):
H 0.2500 0.2500 0.2500  4 Au 2.59, 4 Ca 2.59
H 0.7500 0.7500 0.7500  4 Ca 2.59, 4 Au 2.59
Ca 0.0000 0.0000 0.0000  8 H 2.59
Au 0.5000 0.5000 0.5000  8 H 2.59

Calculated values
* M_tot: 0.000 μB per cell
* V: 53.4 Å³/f.u.
* space group: Fm-3m (225)

Pick two: it beats the second-best structure by 187 meV/atom.

--- one ---
A geometry-optimized CaHPd2Au structure, computed with GGA-PBE.

Lattice parameters (Å, degrees): 4.1084 4.1084 4.4491 90.00 90.00 90.00
With the nearest neighbours (Å) after each atom.
Positions (direct):
H 0.0000 0.0000 0.0000  4 Pd 2.05, 2 Ca 2.22
Ca 0.0000 0.0000 0.5000  2 H 2.22
Pd 0.0000 0.5000 0.0000  2 H 2.05
Pd 0.5000 0.0000 0.0000  2 H 2.05
Au 0.5000 0.5000 0.5000  4 Ca 2.91, 8 Pd 3.03

Calculated values
* M_tot: 0.000 μB per cell
* V: 75.1 Å³/f.u.
* space group: P4/mmm (123)

--- two ---
A geometry-optimized CaHPd2Au structure, computed with GGA-PBE.

Lattice parameters (Å, degrees): 4.2378 4.2378 4.1841 90.00 90.00 90.00
With the nearest neighbours (Å) after each atom.
Positions (direct):
H 0.0000 0.0000 0.0000  2 Au 2.09, 4 Pd 2.12
Ca 0.5000 0.5000 0.5000  8 Pd 2.98, 4 Au 3.00
Au 0.0000 0.0000 0.5000  2 H 2.09
Pd 0.5000 0.0000 0.0000  2 H 2.12
Pd 0.0000 0.5000 0.0000  2 H 2.12

Calculated values
* M_tot: 0.000 μB per cell
* V: 75.1 Å³/f.u.
* space group: P4/mmm (123)

Pick one: it beats the second-best structure by 62 meV/atom.